Density functional theory data (SCAN) for Hf3PbSe at its PBEsol-relaxed geometry.

Cell lengths 4.907, 4.907, 4.907 Å; angles 90.00, 90.00, 90.00 degrees
Sites, in units of the cell vectors:
1 Se 0.000 0.000 0.000
2 Pb 0.500 0.500 0.500
3 Hf 0.000 0.500 0.000
4 Hf 0.500 0.000 0.000
5 Hf 0.000 0.000 0.500

Calculated values
The density is 11.546 g cm⁻³. The uncorrected formation energy is 0.180 eV/atom. As for the energy: -56.5959 eV/atom.